Arrangement A

Pm3CdGa: optimized geometry, PBE.

Its theoretical density is 7.3 g/cm3.

The space group is Cmcm (No. 63) and the conventional cell measures 5.316, 20.005 and 5.311 Å, with angles of 90.00, 90.00 and 90.00 degrees. The distinct sites, in fractional coordinates, are Pm at (0.000, 0.064, 0.250), Pm at (0.000, 0.249, 0.250), Pm at (0.000, 0.435, 0.250), Cd at (0.000, 0.344, 0.750) and Ga at (0.000, 0.156, 0.750).

***

Arrangement B

Pm3CdGa: optimized geometry, PBE.

Its theoretical density is 7.1 g/cm3.

The space group is P2_1/c (No. 14) and the conventional cell measures 7.130, 7.996 and 10.176 Å, with angles of 90.00, 95.66 and 90.00 degrees. The distinct sites, in fractional coordinates, are Pm at (0.162, 0.137, 0.406), Pm at (0.210, 0.537, 0.601), Pm at (0.303, 0.512, 0.242), Cd at (0.436, 0.693, 0.947) and Ga at (0.044, 0.729, 0.855).

***

Of them, arrangement B has the lowest stability.

***

Arrangement A

PmCdGaSn: optimized geometry, PBE.

Its theoretical density is 7.4 g/cm3.

The space group is F-43m (No. 216) and the conventional cell measures 7.365, 7.365 and 7.365 Å, with angles of 90.00, 90.00 and 90.00 degrees. The distinct sites, in fractional coordinates, are Pm at (0.000, 0.000, 0.000), Cd at (0.000, 0.000, 0.500), Ga at (0.250, 0.250, 0.750) and Sn at (0.250, 0.250, 0.250).

***

Arrangement B

PmCdGaSn: optimized geometry, PBE.

Its theoretical density is 7.7 g/cm3.

The space group is Pmmm (No. 47) and the conventional cell measures 4.427, 4.609 and 4.692 Å, with angles of 90.00, 90.00 and 90.00 degrees. The distinct sites, in fractional coordinates, are Pm at (0.000, 0.000, 0.000), Cd at (0.000, 0.500, 0.500), Ga at (0.500, 0.500, 0.000) and Sn at (0.500, 0.000, 0.500).

***

Of them, arrangement A has the lowest stability.

***

Arrangement A

PrCd2Ga: optimized geometry, PBE.

Its theoretical density is 7.4 g/cm3.

The space group is P4/mmm (No. 123) and the conventional cell measures 4.461, 4.461 and 4.939 Å, with angles of 90.00, 90.00 and 90.00 degrees. The distinct sites, in fractional coordinates, are Pr at (0.000, 0.000, 0.000), Cd at (0.000, 0.500, 0.500) and Ga at (0.500, 0.500, 0.000).

***

Arrangement B

PrCd2Ga: optimized geometry, PBE.

Its theoretical density is 7.3 g/cm3.

The space group is Cmcm (No. 63) and the conventional cell measures 4.297, 20.236 and 4.558 Å, with angles of 90.00, 90.00 and 90.00 degrees. The distinct sites, in fractional coordinates, are Pr at (0.000, 0.114, 0.250), Cd at (0.000, 0.251, 0.750), Cd at (0.000, 0.464, 0.250) and Ga at (0.000, 0.334, 0.250).

***

Of them, arrangement A has the lowest stability.